Ac2AgPd5Pt2 (GGA-PBE, relaxed); E_form = -0.613 eV per atom; V = 20.41 Å³ per atom
1.0
9.8717 0.0000 0.0000
0.0000 9.8717 0.0000
0.0000 0.0000 4.1885
Ac Ag Pd Pt
4 2 10 4
Direct
0.1747 0.3253 0.0000 Ac
0.3253 0.8253 0.0000 Ac
0.6747 0.1747 0.0000 Ac
0.8253 0.6747 0.0000 Ac
0.0000 0.0000 0.0000 Ag
0.5000 0.5000 0.0000 Ag
0.0000 0.5000 0.5000 Pd
0.0624 0.8006 0.5000 Pd
0.1994 0.0624 0.5000 Pd
0.3006 0.5624 0.5000 Pd
0.4376 0.3006 0.5000 Pd
0.5000 0.0000 0.5000 Pd
0.5624 0.6994 0.5000 Pd
0.6994 0.4376 0.5000 Pd
0.8006 0.9376 0.5000 Pd
0.9376 0.1994 0.5000 Pd
0.1229 0.6229 0.0000 Pt
0.3771 0.1229 0.0000 Pt
0.6229 0.8771 0.0000 Pt
0.8771 0.3771 0.0000 Pt

Ho2Ga2Ni (GGA-PBE, relaxed); E_form = -0.622 eV per atom; V = 20.35 Å³ per atom
1.0
5.2352 -2.1044 0.0000
5.2352 2.1044 0.0000
-4.7499 0.0000 9.2370
Ho Ga Ni
4 4 2
Direct
0.0080 0.0080 0.3331 Ho
0.1900 0.1900 0.1176 Ho
0.8100 0.8100 0.8824 Ho
0.9920 0.9920 0.6669 Ho
0.3450 0.3450 0.4416 Ga
0.4807 0.4807 0.1178 Ga
0.5193 0.5193 0.8822 Ga
0.6550 0.6550 0.5584 Ga
0.2763 0.2763 0.6572 Ni
0.7237 0.7237 0.3428 Ni